Record 1
The following is a PBE calculation of a relaxed Ca2ErThS4 crystal, from the Alexandria database.

abc: 6.8554 3.9315 7.0283
angles: 90.00 108.67 90.00
Sites, in units of the cell vectors:
Ca (0.0000, 0.0000, 0.0000)
Ca (0.5000, 0.5000, 0.0000)
Er (0.0000, 0.5000, 0.5000)
Th (0.5000, 0.0000, 0.5000)
S (0.2405, 0.5000, 0.2457)
S (0.2410, 0.0000, 0.7459)
S (0.7590, 0.0000, 0.2541)
S (0.7595, 0.5000, 0.7543)

Properties
crystal system	monoclinic
size of the total moment	0.00	μB/f.u.
energy	-48.10	eV for the cell shown

---

Record 2
The following is a PBE calculation of a relaxed SrFeRu crystal, from the Alexandria database.

abc: 7.3041 4.1241 8.3416
angles: 90.00 90.00 90.00
Sites, in units of the cell vectors:
Sr (0.0009, 0.2500, 0.1845)
Sr (0.4991, 0.7500, 0.6845)
Sr (0.5009, 0.2500, 0.3155)
Sr (0.9991, 0.7500, 0.8155)
Fe (0.1570, 0.7500, 0.4321)
Fe (0.3430, 0.2500, 0.9321)
Fe (0.6570, 0.7500, 0.0679)
Fe (0.8430, 0.2500, 0.5679)
Ru (0.1518, 0.2500, 0.5630)
Ru (0.3482, 0.7500, 0.0630)
Ru (0.6518, 0.2500, 0.9370)
Ru (0.8482, 0.7500, 0.4370)

Properties
crystal system	orthorhombic
excess energy over the best structure of this formula in the dataset	0.093	eV/atom
size of the total moment	0.00	μB/f.u.
formation enthalpy at 0 K	0.376	eV/atom

---

Record 3
The following is a PBE calculation of a relaxed CePdS2O crystal, from the Alexandria database.

abc: 3.7522 3.7522 12.5860
angles: 90.00 90.00 90.00
Sites, in units of the cell vectors:
Ce (0.2500, 0.2500, 0.1071)
Ce (0.7500, 0.7500, 0.8929)
Pd (0.2500, 0.2500, 0.6005)
Pd (0.7500, 0.7500, 0.3995)
S (0.2500, 0.2500, 0.4124)
S (0.2500, 0.2500, 0.7891)
S (0.7500, 0.7500, 0.2109)
S (0.7500, 0.7500, 0.5876)
O (0.2500, 0.7500, 0.0000)
O (0.7500, 0.2500, 0.0000)

Properties
crystal system	tetragonal
size of the total moment	0.45	μB/f.u.
energy	-65.29	eV for the cell shown

---

Record 4
The following is a PBE calculation of a relaxed NaAc2Au2 crystal, from the Alexandria database.

abc: 8.6131 8.6131 4.1813
angles: 90.00 90.00 90.00
Sites, in units of the cell vectors:
Na (0.0000, 0.0000, 0.0000)
Na (0.5000, 0.5000, 0.0000)
Ac (0.1624, 0.3376, 0.5000)
Ac (0.3376, 0.8376, 0.5000)
Ac (0.6624, 0.1624, 0.5000)
Ac (0.8376, 0.6624, 0.5000)
Au (0.1340, 0.6340, 0.0000)
Au (0.3660, 0.1340, 0.0000)
Au (0.6340, 0.8660, 0.0000)
Au (0.8660, 0.3660, 0.0000)

Properties
crystal system	tetragonal
size of the total moment	0.00	μB/f.u.
formation enthalpy at 0 K	-0.633	eV/atom

---

Record 5
The following is a PBE calculation of a relaxed Tb2In9Ga crystal, from the Alexandria database.

abc: 4.6319 4.6319 14.0444
angles: 90.00 90.00 90.00
Sites, in units of the cell vectors:
Tb (0.0000, 0.0000, 0.1643)
Tb (0.0000, 0.0000, 0.8357)
In (0.0000, 0.5000, 0.0000)
In (0.0000, 0.5000, 0.3366)
In (0.0000, 0.5000, 0.6634)
In (0.5000, 0.0000, 0.0000)
In (0.5000, 0.0000, 0.3366)
In (0.5000, 0.0000, 0.6634)
In (0.5000, 0.5000, 0.1666)
In (0.5000, 0.5000, 0.5000)
In (0.5000, 0.5000, 0.8334)
Ga (0.0000, 0.0000, 0.5000)

Properties
crystal system	tetragonal
size of the total moment	0.00	μB/f.u.
formation enthalpy at 0 K	-0.246	eV/atom

---

Record 6
The following is a PBE calculation of a relaxed HgBiHIr2 crystal, from the Alexandria database.

abc: 5.2125 5.2125 3.3330
angles: 90.00 90.00 90.00
Sites, in units of the cell vectors:
Hg (0.0000, 0.0000, 0.0000)
Bi (0.5000, 0.5000, 0.5000)
H (0.0000, 0.0000, 0.5000)
Ir (0.0000, 0.5000, 0.0000)
Ir (0.5000, 0.0000, 0.0000)

Properties
crystal system	tetragonal
size of the total moment	0.00	μB/f.u.
energy	-19.90	eV for the cell shown

---

no.,DOS(E_F) (states/eV/cell)
1,3.873
2,7.899
3,9.014
4,7.307
5,4.648
6,2.863